Computed, not measured: an optimized crystal structure of MgScTe at the PBE level of DFT.

Raw total energy: -0.141 Ha/atom
Symmetry: F-43m (216)
Total magnetization: 0.70 μB per formula unit
Formation energy (no corrections): -138 meV/atom

Cell lengths 4.9103, 4.9103, 4.9103 Å; angles 60.00, 60.00, 60.00 degrees
Last column: nearest neighbours and their distance in Å.
Atoms (fractional coordinates):
Sc: 0.5000 0.5000 0.5000  4 Te 3.01
Te: 0.7500 0.7500 0.7500  4 Sc 3.01, 4 Mg 3.01
Mg: 0.0000 0.0000 0.0000  4 Te 3.01

=====

Computed, not measured: an optimized crystal structure of GdScAlAu at the PBE level of DFT.

Raw total energy: -0.272 Ha/atom
Symmetry: F-43m (216)
Total magnetization: 7.31 μB per formula unit

Cell lengths 5.0114, 5.0114, 5.0114 Å; angles 60.00, 60.00, 60.00 degrees
Last column: nearest neighbours and their distance in Å.
Atoms (fractional coordinates):
Sc: 0.7500 0.7500 0.7500  4 Au 3.07, 4 Al 3.07
Au: 0.0000 0.0000 0.0000  4 Sc 3.07, 4 Gd 3.07
Gd: 0.2500 0.2500 0.2500  4 Au 3.07, 4 Al 3.07
Al: 0.5000 0.5000 0.5000  4 Gd 3.07, 4 Sc 3.07

=====

Computed, not measured: an optimized crystal structure of TaHg2Pt2 at the PBE level of DFT.

Raw total energy: -0.177 Ha/atom
Symmetry: P4/mbm (127)
Total magnetization: 0.00 μB per formula unit

Cell lengths 6.7906, 6.7906, 4.2423 Å; angles 90.00, 90.00, 90.00 degrees
Last column: nearest neighbours and their distance in Å.
Atoms (fractional coordinates):
Hg: 0.1693 0.6693 0.5000  6 Pt 2.81-2.98
Hg: 0.6693 0.8307 0.5000  6 Pt 2.81-2.98
Hg: 0.3307 0.1693 0.5000  6 Pt 2.81-2.98
Hg: 0.8307 0.3307 0.5000  6 Pt 2.81-2.98
Pt: 0.1381 0.3619 0.0000  2 Ta 2.63, 1 Pt 2.65, 2 Hg 2.81
Pt: 0.6381 0.1381 0.0000  2 Ta 2.63, 1 Pt 2.65, 2 Hg 2.81
Pt: 0.8619 0.6381 0.0000  2 Ta 2.63, 1 Pt 2.65, 2 Hg 2.81
Pt: 0.3619 0.8619 0.0000  2 Ta 2.63, 1 Pt 2.65, 2 Hg 2.81
Ta: 0.0000 0.0000 0.0000  4 Pt 2.63
Ta: 0.5000 0.5000 0.0000  4 Pt 2.63

=====

Computed, not measured: an optimized crystal structure of ErMgZn2 at the PBE level of DFT.

Raw total energy: -0.092 Ha/atom
Symmetry: Fm-3m (225)
Total magnetization: 0.00 μB per formula unit

Cell lengths 4.8018, 4.8018, 4.8018 Å; angles 60.00, 60.00, 60.00 degrees
Last column: nearest neighbours and their distance in Å.
Atoms (fractional coordinates):
Zn: 0.2500 0.2500 0.2500  4 Er 2.94, 4 Mg 2.94
Zn: 0.7500 0.7500 0.7500  4 Er 2.94, 4 Mg 2.94
Mg: 0.0000 0.0000 0.0000  8 Zn 2.94
Er: 0.5000 0.5000 0.5000  8 Zn 2.94

=====

Computed, not measured: an optimized crystal structure of Ce2SmSi2 at the PBE level of DFT.

Raw total energy: -0.223 Ha/atom
Symmetry: P4/mbm (127)
Total magnetization: 1.54 μB per formula unit
Formation energy (no corrections): -585 meV/atom

Cell lengths 4.2540, 7.6383, 7.6383 Å; angles 90.00, 90.00, 90.00 degrees
Last column: nearest neighbours and their distance in Å.
Atoms (fractional coordinates):
Si: 0.0000 0.1134 0.3866  1 Si 2.45
Si: 0.0000 0.6134 0.1134  1 Si 2.45
Si: 0.0000 0.3866 0.8866  1 Si 2.45
Si: 0.0000 0.8866 0.6134  1 Si 2.45
Ce: 0.5000 0.8215 0.3215  6 Si 3.09-3.12
Ce: 0.5000 0.3215 0.1785  6 Si 3.09-3.12
Ce: 0.5000 0.1785 0.6785  6 Si 3.09-3.12
Ce: 0.5000 0.6785 0.8215  6 Si 3.09-3.12
Sm: 0.0000 0.5000 0.5000  4 Si 3.08
Sm: 0.0000 0.0000 0.0000  4 Si 3.08

=====

Computed, not measured: an optimized crystal structure of Ho3PbNO at the PBE level of DFT.

Raw total energy: -0.250 Ha/atom
Symmetry: P2_1/m (11)
Total magnetization: 0.00 μB per formula unit
Formation energy (no corrections): -1673 meV/atom

Cell lengths 3.6870, 7.8286, 9.4070 Å; angles 112.81, 90.00, 90.00 degrees
Last column: nearest neighbours and their distance in Å.
Atoms (fractional coordinates):
Pb: 0.7500 0.7213 0.7083  6 Ho 3.12-3.41
Pb: 0.2500 0.2787 0.2917  6 Ho 3.12-3.41
Ho: 0.2500 0.7930 0.4314  3 O 2.17-2.27
Ho: 0.2500 0.5350 0.8746  3 N 2.28-2.50
Ho: 0.7500 0.2070 0.5686  3 O 2.17-2.27
Ho: 0.2500 0.1070 0.8521  1 O 2.21, 2 N 2.43
Ho: 0.7500 0.8930 0.1479  1 O 2.21, 2 N 2.43
Ho: 0.7500 0.4650 0.1254  3 N 2.28-2.50
O: 0.7500 0.9120 0.3886  4 Ho 2.17-2.27
O: 0.2500 0.0880 0.6114  4 Ho 2.17-2.27
N: 0.7500 0.3149 0.8635  5 Ho 2.28-2.50
N: 0.2500 0.6851 0.1365  5 Ho 2.28-2.50

=====

Computed, not measured: an optimized crystal structure of La4TlCoSb at the PBE level of DFT.

Raw total energy: -0.194 Ha/atom
Symmetry: Cmcm (63)
Total magnetization: 0.00 μB per formula unit
Formation energy (no corrections): -523 meV/atom

Cell lengths 7.1468, 7.1296, 9.4512 Å; angles 90.00, 112.22, 90.00 degrees
Last column: nearest neighbours and their distance in Å.
Atoms (fractional coordinates):
La: 0.0749 0.7500 0.1499  1 Co 3.04, 1 Tl 3.24
La: 0.0000 0.5000 0.5000  2 Co 2.52
La: 0.0000 0.0000 0.5000  2 Co 2.52
La: 0.5000 0.0000 0.5000  2 Co 2.52
La: 0.5767 0.2500 0.1535  1 Co 3.05, 1 Sb 3.26
La: 0.4233 0.7500 0.8465  1 Co 3.05, 1 Sb 3.26
La: 0.9251 0.2500 0.8501  1 Co 3.04, 1 Tl 3.24
La: 0.5000 0.5000 0.5000  2 Co 2.52
Tl: 0.1102 0.2500 0.2204  9 La 3.24-3.62
Tl: 0.8898 0.7500 0.7796  9 La 3.24-3.62
Sb: 0.3901 0.2500 0.7803  9 La 3.26-3.63
Sb: 0.6099 0.7500 0.2197  9 La 3.26-3.63
Co: 0.7511 0.2500 0.5022  4 La 2.52
Co: 0.2489 0.7500 0.4978  4 La 2.52

=====

Computed, not measured: an optimized crystal structure of AlIr2Se at the PBE level of DFT.

Raw total energy: -0.219 Ha/atom
Symmetry: Cmm2 (35)
Total magnetization: 0.00 μB per formula unit
Formation energy (no corrections): 270 meV/atom

Cell lengths 2.8264, 2.8264, 9.6223 Å; angles 90.00, 90.00, 120.60 degrees
Last column: nearest neighbours and their distance in Å.
Atoms (fractional coordinates):
Ir: 0.5000 0.5000 0.2470  2 Se 2.56, 8 Ir 2.75-2.83
Ir: 0.0000 0.0000 0.0006  2 Al 2.52, 8 Ir 2.75-2.83
Al: 0.5000 0.5000 0.7822  2 Ir 2.52, 6 Al 2.80-2.83
Se: 0.0000 0.0000 0.4703  2 Ir 2.56, 6 Se 2.80-2.83

=====

Computed, not measured: an optimized crystal structure of Ag5PbCl12 at the PBE level of DFT.

Raw total energy: -0.098 Ha/atom
Symmetry: P-1 (2)
Total magnetization: 2.29 μB per formula unit
Formation energy (no corrections): -441 meV/atom

Cell lengths 6.7969, 7.6708, 12.2834 Å; angles 82.26, 78.95, 55.74 degrees
Last column: nearest neighbours and their distance in Å.
Atoms (fractional coordinates):
Pb: 0.0000 0.0000 0.0000  6 Cl 2.86-3.05
Cl: 0.8698 0.9550 0.3823  2 Ag 2.49-2.51
Cl: 0.5399 0.6192 0.3849  2 Ag 2.49
Cl: 0.8017 0.7122 0.6145  2 Ag 2.48-2.50
Cl: 0.4218 0.6800 0.8685  1 Ag 2.45
Cl: 0.4601 0.3808 0.6151  2 Ag 2.49
Cl: 0.1302 0.0450 0.6177  2 Ag 2.49-2.51
Cl: 0.6585 0.0612 0.8689  1 Ag 2.46
Cl: 0.5782 0.3200 0.1315  1 Ag 2.45
Cl: 0.0314 0.3692 0.8971  2 Ag 2.52
Cl: 0.9686 0.6308 0.1029  2 Ag 2.52
Cl: 0.1983 0.2878 0.3855  2 Ag 2.48-2.50
Cl: 0.3415 0.9388 0.1311  1 Ag 2.46
Ag: 0.3422 0.3287 0.0002  4 Cl 2.45-2.52
Ag: 0.6578 0.6713 0.9998  4 Cl 2.45-2.52
Ag: 0.8324 0.3329 0.5025  4 Cl 2.48-2.49
Ag: 0.5000 0.0000 0.5000  4 Cl 2.50-2.51
Ag: 0.1676 0.6672 0.4975  4 Cl 2.48-2.49